# 1
LaCo2I2: relaxed, PBE.

a b c (Å): 8.130 8.130 3.703
angles (deg): 90.00 90.00 90.00
Fractional coordinates of all 10 atoms:
La  0.000  0.000  0.000
La  0.500  0.500  0.000
Co  0.102  0.398  0.500
Co  0.398  0.898  0.500
Co  0.602  0.102  0.500
Co  0.898  0.602  0.500
I  0.157  0.657  0.000
I  0.343  0.157  0.000
I  0.657  0.843  0.000
I  0.843  0.343  0.000

## Properties
* SG: P4/mbm
* crystal system: tetragonal

=====

# 2
La2CoI: relaxed, PBE.

a b c (Å): 3.591 3.591 8.469
angles (deg): 90.00 90.00 90.00
Fractional coordinates of all 4 atoms:
La  0.000  0.000  0.200
La  0.000  0.000  0.800
Co  0.500  0.500  0.000
I  0.500  0.500  0.500

## Properties
* SG: P4/mmm
* crystal system: tetragonal

=====

# 3
La3CoI: relaxed, PBE.

a b c (Å): 4.157 7.021 10.483
angles (deg): 90.00 90.00 90.00
Fractional coordinates of all 10 atoms:
La  0.250  0.004  0.141
La  0.250  0.496  0.141
La  0.250  0.750  0.601
La  0.750  0.250  0.399
La  0.750  0.504  0.859
La  0.750  0.996  0.859
Co  0.250  0.750  0.888
Co  0.750  0.250  0.112
I  0.250  0.250  0.649
I  0.750  0.750  0.351

## Properties
* SG: Pmmn
* crystal system: orthorhombic

=====

Number 1: uncorrected formation energy 0.387 eV/atom, calculated volume 122 Å³/f.u., spin magnetization 2.624 μB/f.u.. Number 2: uncorrected formation energy -0.445 eV/atom, calculated volume 109 Å³/f.u., spin magnetization 0.001 μB/f.u.. Number 3: uncorrected formation energy -0.460 eV/atom, calculated volume 153 Å³/f.u., spin magnetization 0.000 μB/f.u..